# PuAlZnPd

A relaxed structure of PuAlZnPd (PBE-GGA, the Alexandria database).

As for the total energy: -6.45 eV per atom. The value obtained for the calculated formation energy is -0.32 eV per atom.

The space group is F-43m (No. 216) and the conventional cell measures 6.698, 6.698 and 6.698 Å, with angles of 90.00, 90.00 and 90.00 degrees. Symmetry generates all atoms from Pu at (0.000, 0.000, 0.000), Al at (0.000, 0.000, 0.500), Zn at (0.250, 0.250, 0.750) and Pd at (0.250, 0.250, 0.250).